Entry 1:
DFT (PBE-GGA) results for an optimized crystal structure of SmBiTe. Values from VASP.

Structure (Quantum ESPRESSO input):
```
&SYSTEM
  ibrav = 0, nat = 12, ntyp = 3
/
ATOMIC_SPECIES
Sm 150.36 Sm.upf
Bi 208.98 Bi.upf
Te 127.60 Te.upf
CELL_PARAMETERS angstrom
8.352 0.000 0.000
0.000 4.117 0.000
0.000 0.000 10.429
ATOMIC_POSITIONS angstrom
Sm 1.046 1.029 2.452
Sm 3.130 3.087 7.666
Sm 5.222 1.029 2.763
Sm 7.306 3.087 7.977
Bi 0.898 1.029 6.114
Bi 3.278 3.087 0.899
Bi 5.074 1.029 9.530
Bi 7.454 3.087 4.315
Te 1.116 1.029 9.311
Te 3.059 3.087 4.097
Te 5.292 1.029 6.332
Te 7.235 3.087 1.118
```

Values from the calculation:
VASP energy (eV/cell): -57.52



Entry 2:
DFT (PBE-GGA) results for an optimized crystal structure of SmBiTe. Values from VASP.

Structure (Quantum ESPRESSO input):
```
&SYSTEM
  ibrav = 0, nat = 3, ntyp = 3
/
ATOMIC_SPECIES
Sm 150.36 Sm.upf
Bi 208.98 Bi.upf
Te 127.60 Te.upf
CELL_PARAMETERS angstrom
0.000 3.763 3.763
3.763 0.000 3.763
3.763 3.763 0.000
ATOMIC_POSITIONS angstrom
Sm 0.000 0.000 0.000
Bi 5.644 5.644 5.644
Te 1.881 1.881 1.881
```

Values from the calculation:
VASP energy (eV/cell): -13.53



Entry 3:
DFT (PBE-GGA) results for an optimized crystal structure of SmTlBiTe3. Values from VASP.

Structure (Quantum ESPRESSO input):
```
&SYSTEM
  ibrav = 0, nat = 12, ntyp = 4
/
ATOMIC_SPECIES
Sm 150.36 Sm.upf
Tl 204.38 Tl.upf
Bi 208.98 Bi.upf
Te 127.60 Te.upf
CELL_PARAMETERS angstrom
2.234 -7.756 0.000
2.234 7.756 0.000
0.000 0.000 12.067
ATOMIC_POSITIONS angstrom
Sm 0.000 0.000 0.000
Sm 0.000 0.000 6.034
Tl 2.234 4.062 9.051
Tl 2.234 -4.062 3.017
Bi 2.234 0.803 3.017
Bi 2.234 -0.803 9.051
Te 2.234 6.304 3.017
Te 2.234 2.217 0.320
Te 2.234 2.217 5.713
Te 2.234 -2.217 6.354
Te 2.234 -2.217 11.747
Te 2.234 -6.304 9.051
```

Values from the calculation:
VASP energy (eV/cell): -48.00



Entry 4:
DFT (PBE-GGA) results for an optimized crystal structure of SmThBi. Values from VASP.

Structure (Quantum ESPRESSO input):
```
&SYSTEM
  ibrav = 0, nat = 3, ntyp = 3
/
ATOMIC_SPECIES
Sm 150.36 Sm.upf
Th 232.04 Th.upf
Bi 208.98 Bi.upf
CELL_PARAMETERS angstrom
0.000 3.753 3.753
3.753 0.000 3.753
3.753 3.753 0.000
ATOMIC_POSITIONS angstrom
Sm 0.000 0.000 0.000
Th 3.753 3.753 3.753
Bi 1.876 1.876 1.876
```

Values from the calculation:
VASP energy (eV/cell): -16.55



Entry 5:
DFT (PBE-GGA) results for an optimized crystal structure of Sm5ThBi6. Values from VASP.

Structure (Quantum ESPRESSO input):
```
&SYSTEM
  ibrav = 0, nat = 12, ntyp = 3
/
ATOMIC_SPECIES
Sm 150.36 Sm.upf
Th 232.04 Th.upf
Bi 208.98 Bi.upf
CELL_PARAMETERS angstrom
3.947 -6.834 0.000
3.947 6.834 0.000
-2.631 0.000 7.443
ATOMIC_POSITIONS angstrom
Sm 0.000 0.000 0.000
Sm 2.632 4.555 3.722
Sm 3.947 2.275 0.000
Sm 3.947 -2.275 0.000
Sm 2.632 -4.555 3.722
Th 2.632 0.000 3.722
Bi 1.313 2.283 1.853
Bi -0.006 0.000 5.582
Bi 1.313 -2.283 1.853
Bi 3.951 2.283 5.591
Bi 5.270 0.000 1.861
Bi 3.951 -2.283 5.591
```

Values from the calculation:
VASP energy (eV/cell): -66.04



Entry 6:
DFT (PBE-GGA) results for an optimized crystal structure of Sm5Tl2Bi2. Values from VASP.

Structure (Quantum ESPRESSO input):
```
&SYSTEM
  ibrav = 0, nat = 18, ntyp = 3
/
ATOMIC_SPECIES
Sm 150.36 Sm.upf
Tl 204.38 Tl.upf
Bi 208.98 Bi.upf
CELL_PARAMETERS angstrom
8.038 -4.190 0.000
8.038 4.190 0.000
0.000 0.000 8.369
ATOMIC_POSITIONS angstrom
Sm 0.000 0.000 0.000
Sm 5.861 2.760 5.581
Sm 5.861 1.430 1.397
Sm 10.216 2.760 5.581
Sm 10.216 1.430 1.397
Sm 8.038 0.000 4.185
Sm 5.861 -1.430 6.972
Sm 5.861 -2.760 2.788
Sm 10.216 -1.430 6.972
Sm 10.216 -2.760 2.788
Tl 8.038 3.093 3.098
Tl 8.038 1.097 7.283
Tl 8.038 -1.097 1.087
Tl 8.038 -3.093 5.271
Bi 3.288 0.000 0.000
Bi 4.751 0.000 4.185
Bi 11.326 0.000 4.185
Bi 12.789 0.000 0.000
```

Values from the calculation:
VASP energy (eV/cell): -84.02



Entry 7:
DFT (PBE-GGA) results for an optimized crystal structure of SmTlBi. Values from VASP.

Structure (Quantum ESPRESSO input):
```
&SYSTEM
  ibrav = 0, nat = 3, ntyp = 3
/
ATOMIC_SPECIES
Sm 150.36 Sm.upf
Tl 204.38 Tl.upf
Bi 208.98 Bi.upf
CELL_PARAMETERS angstrom
0.000 3.718 3.718
3.718 0.000 3.718
3.718 3.718 0.000
ATOMIC_POSITIONS angstrom
Sm 0.000 0.000 0.000
Tl 5.576 5.576 5.576
Bi 3.718 3.718 3.718
```

Values from the calculation:
Distance to the lowest polymorph of the same formula (meV per atom): 92
VASP energy (eV/cell): -11.50



Entry 8:
DFT (PBE-GGA) results for an optimized crystal structure of SmTlBi. Values from VASP.

Structure (Quantum ESPRESSO input):
```
&SYSTEM
  ibrav = 0, nat = 3, ntyp = 3
/
ATOMIC_SPECIES
Sm 150.36 Sm.upf
Tl 204.38 Tl.upf
Bi 208.98 Bi.upf
CELL_PARAMETERS angstrom
0.000 3.733 3.733
3.733 0.000 3.733
3.733 3.733 0.000
ATOMIC_POSITIONS angstrom
Sm 0.000 0.000 0.000
Tl 1.867 1.867 1.867
Bi 5.600 5.600 5.600
```

Values from the calculation:
Distance to the lowest polymorph of the same formula (meV per atom): 0
VASP energy (eV/cell): -11.78



Entry 9:
DFT (PBE-GGA) results for an optimized crystal structure of Sm2TmBi3. Values from VASP.

Structure (Quantum ESPRESSO input):
```
&SYSTEM
  ibrav = 0, nat = 6, ntyp = 3
/
ATOMIC_SPECIES
Sm 150.36 Sm.upf
Tm 168.93 Tm.upf
Bi 208.98 Bi.upf
CELL_PARAMETERS angstrom
4.495 0.000 0.000
-2.248 3.893 0.000
0.000 0.000 11.030
ATOMIC_POSITIONS angstrom
Sm 0.000 2.595 3.636
Sm 2.248 1.298 7.394
Tm 0.000 0.000 0.000
Bi 0.000 0.000 5.515
Bi 0.000 2.595 9.279
Bi 2.248 1.298 1.751
```

Values from the calculation:
VASP energy (eV/cell): -31.41



Entry 10:
DFT (PBE-GGA) results for an optimized crystal structure of SmTmBi. Values from VASP.

Structure (Quantum ESPRESSO input):
```
&SYSTEM
  ibrav = 0, nat = 3, ntyp = 3
/
ATOMIC_SPECIES
Sm 150.36 Sm.upf
Tm 168.93 Tm.upf
Bi 208.98 Bi.upf
CELL_PARAMETERS angstrom
0.000 3.666 3.666
3.666 0.000 3.666
3.666 3.666 0.000
ATOMIC_POSITIONS angstrom
Sm 0.000 0.000 0.000
Tm 3.666 3.666 3.666
Bi 1.833 1.833 1.833
```

Values from the calculation:
VASP energy (eV/cell): -14.09



Entry 11:
DFT (PBE-GGA) results for an optimized crystal structure of SmUBi. Values from VASP.

Structure (Quantum ESPRESSO input):
```
&SYSTEM
  ibrav = 0, nat = 3, ntyp = 3
/
ATOMIC_SPECIES
Sm 150.36 Sm.upf
U 238.03 U.upf
Bi 208.98 Bi.upf
CELL_PARAMETERS angstrom
0.000 3.773 3.773
3.773 0.000 3.773
3.773 3.773 0.000
ATOMIC_POSITIONS angstrom
Sm 0.000 0.000 0.000
U 5.659 5.659 5.659
Bi 3.773 3.773 3.773
```

Values from the calculation:
VASP energy (eV/cell): -17.89



Entry 12:
DFT (PBE-GGA) results for an optimized crystal structure of SmBiW. Values from VASP.

Structure (Quantum ESPRESSO input):
```
&SYSTEM
  ibrav = 0, nat = 3, ntyp = 3
/
ATOMIC_SPECIES
Sm 150.36 Sm.upf
Bi 208.98 Bi.upf
W 183.84 W.upf
CELL_PARAMETERS angstrom
0.000 3.602 3.602
3.602 0.000 3.602
3.602 3.602 0.000
ATOMIC_POSITIONS angstrom
Sm 0.000 0.000 0.000
Bi 5.403 5.403 5.403
W 1.801 1.801 1.801
```

Values from the calculation:
Distance to the lowest polymorph of the same formula (meV per atom): 440
VASP energy (eV/cell): -17.78



Entry 13:
DFT (PBE-GGA) results for an optimized crystal structure of SmBiW. Values from VASP.

Structure (Quantum ESPRESSO input):
```
&SYSTEM
  ibrav = 0, nat = 3, ntyp = 3
/
ATOMIC_SPECIES
Sm 150.36 Sm.upf
Bi 208.98 Bi.upf
W 183.84 W.upf
CELL_PARAMETERS angstrom
0.000 3.452 3.452
3.452 0.000 3.452
3.452 3.452 0.000
ATOMIC_POSITIONS angstrom
Sm 0.000 0.000 0.000
Bi 1.726 1.726 1.726
W 3.452 3.452 3.452
```

Values from the calculation:
Distance to the lowest polymorph of the same formula (meV per atom): 0
VASP energy (eV/cell): -19.10



Entry 14:
DFT (PBE-GGA) results for an optimized crystal structure of SmY2Bi3. Values from VASP.

Structure (Quantum ESPRESSO input):
```
&SYSTEM
  ibrav = 0, nat = 6, ntyp = 3
/
ATOMIC_SPECIES
Sm 150.36 Sm.upf
Y 88.91 Y.upf
Bi 208.98 Bi.upf
CELL_PARAMETERS angstrom
4.489 0.000 0.000
-2.245 3.888 0.000
0.000 0.000 11.005
ATOMIC_POSITIONS angstrom
Sm 0.000 0.000 0.000
Y 0.000 2.592 3.689
Y 2.245 1.296 7.317
Bi 0.000 0.000 5.503
Bi 0.000 2.592 9.125
Bi 2.245 1.296 1.880
```

Values from the calculation:
VASP energy (eV/cell): -35.31